Record 1
This record from Alexandria via LeMat-Bulk describes a relaxed structure of Li2CaPd. The functional is PBE.

Summary:
- Space group: No. 11
- Crystal system: monoclinic
- Energy relative to the elements: -0.3571 eV per atom
- Polymorph energy (0 for the lowest one): 0.004 eV per atom
- Density: 3.1 g cm⁻³

Lattice parameters (Å, degrees): 4.1970 5.5425 7.9166 90.00 90.00 112.02
With the nearest neighbours (Å) after each atom.
Positions (direct):
Li 0.1648 0.3285 0.4404  3 Pd 2.67-2.68, 2 Li 2.90
Li 0.8352 0.6715 0.5596  3 Pd 2.67-2.68, 2 Li 2.90
Li 0.8352 0.6715 0.9404  3 Pd 2.67-2.68, 2 Li 2.90
Li 0.1648 0.3285 0.0596  3 Pd 2.67-2.68, 2 Li 2.90
Ca 0.4401 0.8809 0.2500  3 Pd 2.98-3.02, 2 Li 3.21
Ca 0.5599 0.1191 0.7500  3 Pd 2.98-3.02, 2 Li 3.21
Pd 0.7307 0.4605 0.2500  6 Li 2.67-2.68, 1 Ca 2.98
Pd 0.2693 0.5395 0.7500  6 Li 2.67-2.68, 1 Ca 2.98

Record 2
This record from Alexandria via LeMat-Bulk describes a relaxed structure of Li4Ca3Pd4. The functional is PBE.

Summary:
- Space group: No. 71
- Crystal system: orthorhombic
- Energy relative to the elements: -0.4667 eV per atom
- Polymorph energy (0 for the lowest one): 0.000 eV per atom
- Density: 4.4 g cm⁻³

Lattice parameters (Å, degrees): 4.2192 7.2405 8.2973 115.87 104.73 90.00
With the nearest neighbours (Å) after each atom.
Positions (direct):
Li 0.3271 0.1358 0.6541  4 Pd 2.61-2.71, 1 Li 2.77
Li 0.6729 0.4816 0.3459  4 Pd 2.61-2.71, 1 Li 2.77
Li 0.6729 0.8642 0.3459  4 Pd 2.61-2.71, 1 Li 2.77
Li 0.3271 0.5184 0.6541  4 Pd 2.61-2.71, 1 Li 2.77
Ca 0.1230 0.1230 0.2459  6 Pd 3.07-3.08, 6 Li 3.16-3.23
Ca 0.8770 0.8770 0.7541  6 Pd 3.07-3.08, 6 Li 3.16-3.23
Ca 0.0000 0.5000 0.0000  6 Pd 3.09-3.16
Pd 0.2205 0.7205 0.4410  6 Li 2.61-2.71
Pd 0.7795 0.2795 0.5590  6 Li 2.61-2.71
Pd 0.5000 0.8116 0.0000  2 Li 2.63, 1 Pd 2.73
Pd 0.5000 0.1884 0.0000  2 Li 2.63, 1 Pd 2.73